PBE-GGA Ce4CoSn2, relaxed; ρ = 7.7 g/cm³; energy relative to the lowest polymorph listed for this composition = 8 meV/atom; space-group type = P2_1/m (11); energy of formation from the pure elements = -0.443 eV/atom; final energy = -5.99 eV/atom
1.0
-1.274 -5.130 -2.782
6.312 -1.833 0.489
-0.832 -0.089 10.400
Sn Co Ce
4 2 8
direct
0.699 0.750 0.052 Sn
0.201 0.250 0.429 Sn
0.301 0.250 0.948 Sn
0.799 0.750 0.571 Sn
0.175 0.750 0.174 Co
0.825 0.250 0.826 Co
0.541 0.466 0.270 Ce
0.459 0.966 0.730 Ce
0.459 0.534 0.730 Ce
0.541 0.034 0.270 Ce
0.145 0.750 0.390 Ce
0.897 0.250 0.080 Ce
0.103 0.750 0.920 Ce
0.855 0.250 0.610 Ce

PBE-GGA CaAgHRh2, relaxed; ρ = 8.1 g/cm³; energy relative to the lowest polymorph listed for this composition = 0 meV/atom; space-group type = P4/mmm (123); final energy = -4.72 eV/atom
1.0
-1.233 1.895 -3.339
-3.279 -2.344 -0.120
-2.203 2.955 2.490
Ag Ca H Rh
1 1 1 2
direct
0.500 0.500 0.500 Ag
0.000 0.000 0.500 Ca
0.000 0.000 0.000 H
0.000 0.500 0.000 Rh
0.500 0.000 0.000 Rh

PBE-GGA RbHf2P, relaxed; ρ = 5.8 g/cm³; space-group type = I-42d (122); energy of formation from the pure elements = 0.612 eV/atom; final energy = -5.96 eV/atom
1.0
-1.287 4.503 2.817
-2.206 -3.090 3.931
6.252 0.355 7.588
Rb P Hf
2 2 4
direct
0.000 0.000 0.000 Rb
0.750 0.250 0.500 Rb
0.500 0.500 0.000 P
0.250 0.750 0.500 P
0.875 0.636 0.750 Hf
0.375 0.614 0.750 Hf
0.364 0.625 0.250 Hf
0.386 0.125 0.250 Hf